Record 1
The following is a PBE calculation of a relaxed Ba8Ga7 crystal, from the Alexandria database.

Cell lengths 13.0774, 13.0774, 13.0774 Å; angles 90.00, 90.00, 90.00 degrees
Closest atoms and distances in Å follow each position.
Space group P2_13 (No. 198)
One atom of each set of equivalent atoms:
Ba (0.0010, 0.2025, 0.9430) [12 per cell]  5 Ga 3.42-3.69
Ba (0.0196, 0.2031, 0.4388) [12 per cell]  6 Ga 3.43-3.69
Ba (0.1869, 0.6869, 0.8131) [4 per cell]  6 Ga 3.55-3.56
Ba (0.1879, 0.8121, 0.3121) [4 per cell]  6 Ga 3.59-3.63
Ga (0.0678, 0.4322, 0.5678) [4 per cell]  3 Ga 2.79
Ga (0.0756, 0.2599, 0.6934) [12 per cell]  3 Ga 2.72-2.79
Ga (0.0821, 0.2464, 0.1875) [12 per cell]  2 Ga 2.67

## Properties
Calculated total energy in eV for the cell shown: -168.6

=====

Record 2
The following is a PBE calculation of a relaxed BaGa3 crystal, from the Alexandria database.

Cell lengths 6.0401, 4.2239, 8.0242 Å; angles 90.00, 90.00, 90.00 degrees
Closest atoms and distances in Å follow each position.
Space group Pmma (No. 51)
One atom of each set of equivalent atoms:
Ba (0.2500, 0.0000, 0.1792) [2 per cell]  13 Ga 3.45-3.69
Ga (0.0000, 0.5000, 0.5000) [2 per cell]  8 Ga 2.74-3.02
Ga (0.2500, 0.0000, 0.6091) [2 per cell]  6 Ga 2.72-2.74
Ga (0.2500, 0.5000, 0.8227) [2 per cell]  4 Ga 2.72-3.00

## Properties
Calculated total energy in eV for the cell shown: -24.7

=====

Record 3
The following is a PBE calculation of a relaxed BaGa5 crystal, from the Alexandria database.

Cell lengths 4.6892, 12.8472, 4.7200 Å; angles 90.00, 90.00, 90.00 degrees
Closest atoms and distances in Å follow each position.
Space group Cmmm (No. 65)
One atom of each set of equivalent atoms:
Ba (0.0000, 0.0000, 0.0000) [2 per cell]  12 Ga 3.33-3.39
Ga (0.0000, 0.1842, 0.5000) [4 per cell]  4 Ga 2.85-2.89
Ga (0.0000, 0.3091, 0.0000) [4 per cell]  4 Ga 2.79-2.85
Ga (0.0000, 0.5000, 0.5000) [2 per cell]  4 Ba 3.33, 8 Ga 3.33-3.40

## Properties
E above lowest polymorph in meV/atom: 147.3

=====

Record 4
The following is a PBE calculation of a relaxed Ba4Ga crystal, from the Alexandria database.

Cell lengths 10.9387, 10.9387, 4.2406 Å; angles 90.00, 90.00, 90.00 degrees
Closest atoms and distances in Å follow each position.
Space group I4/m (No. 87)
One atom of each set of equivalent atoms:
Ba (0.0637, 0.2469, 0.0000) [8 per cell]  2 Ga 3.50
Ga (0.0000, 0.0000, 0.5000) [2 per cell]  8 Ba 3.50

## Properties
E above lowest polymorph in meV/atom: 0.0

=====

Record 5
The following is a PBE calculation of a relaxed Ba5Ga2 crystal, from the Alexandria database.

Cell lengths 8.4755, 17.6975, 8.0420 Å; angles 90.00, 90.00, 90.00 degrees
Closest atoms and distances in Å follow each position.
Space group Ibam (No. 72)
One atom of each set of equivalent atoms:
Ba (0.0000, 0.0000, 0.2500) [4 per cell]  4 Ga 3.59, 4 Ba 3.95
Ba (0.0000, 0.2279, 0.2500) [8 per cell]  2 Ga 3.50
Ba (0.1382, 0.4164, 0.0000) [8 per cell]  2 Ga 3.35-3.70
Ga (0.2493, 0.1181, 0.0000) [8 per cell]  6 Ba 3.35-3.70

## Properties
Calculated total energy in eV for the cell shown: -67.9

=====

Record 6
The following is a PBE calculation of a relaxed Ba5Ga crystal, from the Alexandria database.

Cell lengths 4.6823, 20.1732, 6.5190 Å; angles 90.00, 90.00, 90.00 degrees
Closest atoms and distances in Å follow each position.
Space group Cmmm (No. 65)
One atom of each set of equivalent atoms:
Ba (0.0000, 0.0000, 0.0000) [2 per cell]  4 Ga 4.01, 8 Ba 4.15-4.23
Ba (0.0000, 0.1333, 0.5000) [4 per cell]  2 Ga 3.57
Ba (0.0000, 0.3303, 0.0000) [4 per cell]  8 Ba 4.00-4.15
Ga (0.0000, 0.5000, 0.5000) [2 per cell]  4 Ba 3.57

## Properties
E above lowest polymorph in meV/atom: 91.2

=====

What are the DOS at the Fermi energy values for these records? In order: 42.2; 3.7; 5.3; 9.5; 20.6; 12.8 states/eV per cell.